Computed, not measured: a geometry-optimized Zr2Co2O5 structure at the PBE+U level of DFT.

abc: 3.707 3.707 6.370
angles: 90.00 90.00 90.00
Space group P4/mmm (No. 123)
Unique sites:
Zr: 0.000 0.000 0.000
Zr: 0.000 0.000 0.500
Co: 0.500 0.500 0.191
O: 0.000 0.500 0.231
O: 0.500 0.500 0.500

Values from the calculation:
**Volume**: 87.5 Å³ per cell
**E above lowest polymorph**: 349 meV per atom
**E**: -66.252 eV per cell